Version a
First-principles (PBE) data for a relaxed ScGa3Te crystal, as listed in Alexandria via LeMat-Bulk.

Calculated values
**Volume**: 30.2 Å³ per atom

abc: 5.3265 5.3265 5.3265
angles: 90.00 90.00 90.00
Closest atoms and distances in Å follow each position.
Space group Pm-3m (No. 221)
Inequivalent atoms, fractional coordinates:
Sc  0.0000  0.0000  0.0000 x1  6 Ga 2.66
Ga  0.0000  0.0000  0.5000 x3  2 Sc 2.66
Te  0.5000  0.5000  0.5000 x1  12 Ga 3.77

Version b
First-principles (PBE) data for a relaxed ScGa3Te crystal, as listed in Alexandria via LeMat-Bulk.

Calculated values
**Volume**: 30.4 Å³ per atom

abc: 5.3346 5.3346 5.3346
angles: 90.00 90.00 90.00
Closest atoms and distances in Å follow each position.
Space group Pm-3m (No. 221)
Inequivalent atoms, fractional coordinates:
Sc  0.0000  0.0000  0.0000 x1  12 Ga 3.77
Ga  0.0000  0.5000  0.5000 x3  2 Te 2.67
Te  0.5000  0.5000  0.5000 x1  6 Ga 2.67

On energetic grounds, version a is preferred over the next structure by 0.239 eV/atom.

Version a
First-principles (PBE) data for a relaxed ThSc2Ga crystal, as listed in Alexandria via LeMat-Bulk.

Calculated values
**Volume**: 24.4 Å³ per atom

abc: 3.4103 3.4103 29.0488
angles: 90.00 90.00 120.00
Closest atoms and distances in Å follow each position.
Space group R-3m (No. 166, hexagonal axes)
Inequivalent atoms, fractional coordinates:
Th  0.0000  0.0000  0.0000 x3  6 Sc 3.36, 6 Th 3.41
Sc  0.0000  0.0000  0.2394 x6  3 Ga 2.89
Ga  0.0000  0.0000  0.5000 x3  6 Sc 2.89

Version b
First-principles (PBE) data for a relaxed ThSc2Ga crystal, as listed in Alexandria via LeMat-Bulk.

Calculated values
**Volume**: 23.8 Å³ per atom

abc: 4.5954 4.5954 4.5079
angles: 90.00 90.00 90.00
Closest atoms and distances in Å follow each position.
Space group P4/mmm (No. 123)
Inequivalent atoms, fractional coordinates:
Th  0.0000  0.0000  0.0000 x1  8 Sc 3.22, 4 Ga 3.25
Sc  0.0000  0.5000  0.5000 x2  4 Th 3.22, 4 Ga 3.22, 4 Sc 3.25
Ga  0.5000  0.5000  0.0000 x1  8 Sc 3.22, 4 Th 3.25

On energetic grounds, version b is preferred over the next structure by 0.049 eV/atom.

Version a
First-principles (PBE) data for a relaxed ThScGa crystal, as listed in Alexandria via LeMat-Bulk.

Calculated values
**Volume**: 24.6 Å³ per atom

abc: 3.4152 3.4152 12.6657
angles: 90.00 90.00 90.00
Closest atoms and distances in Å follow each position.
Space group I4mm (No. 107)
Inequivalent atoms, fractional coordinates:
Th  0.0000  0.0000  0.0000 x2  4 Ga 3.22, 4 Th 3.42, 4 Sc 3.51
Sc  0.0000  0.0000  0.2987 x2  4 Ga 2.92
Ga  0.0000  0.0000  0.6686 x2  4 Sc 2.92, 4 Th 3.22

Version b
First-principles (PBE) data for a relaxed ThScGa crystal, as listed in Alexandria via LeMat-Bulk.

Calculated values
**Volume**: 24.8 Å³ per atom

abc: 7.8249 4.2933 13.3102
angles: 90.00 90.31 90.00
Closest atoms and distances in Å follow each position.
Space group P2_1/m (No. 11)
Inequivalent atoms, fractional coordinates:
Th  0.0253  0.2500  0.2163 x2  5 Ga 3.15-3.22, 4 Sc 3.36-3.41
Th  0.3629  0.7500  0.5807 x2  5 Ga 3.16-3.21, 4 Sc 3.47
Th  0.4739  0.7500  0.8889 x2  5 Ga 3.19-3.28, 4 Sc 3.48-3.51
Sc  0.0155  0.2500  0.5908 x2  4 Ga 2.86-2.96
Sc  0.1435  0.2500  0.9568 x2  4 Ga 2.84-2.96
Sc  0.3582  0.7500  0.2949 x2  4 Ga 2.88-2.94
Ga  0.2271  0.7500  0.0875 x2  4 Sc 2.84-2.96, 2 Th 3.17
Ga  0.2339  0.2500  0.4195 x2  5 Sc 2.86-2.90, 4 Th 3.15-3.20
Ga  0.2760  0.2500  0.7527 x2  3 Sc 2.91-2.96, 6 Th 3.20-3.22

On energetic grounds, version b is preferred over the next structure by 0.123 eV/atom.

Version a
First-principles (PBE) data for a relaxed ThScGa crystal, as listed in Alexandria via LeMat-Bulk.

Calculated values
**Volume**: 24.9 Å³ per atom

abc: 4.3346 4.3346 7.9461
angles: 90.00 90.00 90.00
Closest atoms and distances in Å follow each position.
Space group P4/nmm (No. 129, origin choice 2)
Inequivalent atoms, fractional coordinates:
Th  0.2500  0.2500  0.1423 x2  5 Ga 3.17-3.20
Sc  0.2500  0.7500  0.5000 x2  4 Ga 2.91, 4 Sc 3.07
Ga  0.2500  0.2500  0.7437 x2  4 Sc 2.91, 5 Th 3.17-3.20

Version b
First-principles (PBE) data for a relaxed ThScGa crystal, as listed in Alexandria via LeMat-Bulk.

Calculated values
**Volume**: 24.8 Å³ per atom

abc: 7.8829 4.3345 8.7121
angles: 90.00 90.00 90.00
Closest atoms and distances in Å follow each position.
Space group Pnma (No. 62)
Inequivalent atoms, fractional coordinates:
Th  0.0232  0.2500  0.1645 x4  5 Ga 3.20-3.28, 5 Sc 3.49-3.56
Sc  0.1386  0.2500  0.5579 x4  4 Ga 2.83-2.95
Ga  0.2252  0.7500  0.3643 x4  4 Sc 2.83-2.95

On energetic grounds, version b is preferred over the next structure by 0.031 eV/atom.

Version a
First-principles (PBE) data for a relaxed ThScGa2 crystal, as listed in Alexandria via LeMat-Bulk.

Calculated values
**Volume**: 22.5 Å³ per atom

abc: 7.1110 7.1110 7.1110
angles: 90.00 90.00 90.00
Closest atoms and distances in Å follow each position.
Space group Fm-3m (No. 225)
Inequivalent atoms, fractional coordinates:
Th  0.0000  0.0000  0.0000 x4  8 Ga 3.08
Sc  0.0000  0.0000  0.5000 x4  8 Ga 3.08
Ga  0.2500  0.2500  0.2500 x8  4 Th 3.08, 4 Sc 3.08

Version b
First-principles (PBE) data for a relaxed ThScGa2 crystal, as listed in Alexandria via LeMat-Bulk.

Calculated values
**Volume**: 22.0 Å³ per atom

abc: 3.5140 3.5140 7.1174
angles: 90.00 90.00 90.00
Closest atoms and distances in Å follow each position.
Space group P4/mmm (No. 123)
Inequivalent atoms, fractional coordinates:
Th  0.0000  0.0000  0.0000 x1  8 Ga 3.22, 4 Th 3.51, 2 Sc 3.56
Sc  0.0000  0.0000  0.5000 x1  8 Ga 2.91
Ga  0.5000  0.5000  0.2868 x2  4 Sc 2.91, 1 Ga 3.03, 4 Th 3.22

Version c
First-principles (PBE) data for a relaxed ThScGa2 crystal, as listed in Alexandria via LeMat-Bulk.

Calculated values
**Volume**: 23.1 Å³ per atom

abc: 8.1784 4.1045 11.0300
angles: 90.00 90.00 90.00
Closest atoms and distances in Å follow each position.
Space group Pnma (No. 62)
Inequivalent atoms, fractional coordinates:
Th  0.1434  0.2500  0.1425 x4  8 Ga 3.12-3.44
Sc  0.0157  0.7500  0.3921 x4  5 Ga 2.74-2.87
Ga  0.1474  0.2500  0.8245 x4  2 Ga 2.57, 2 Sc 2.74-2.85
Ga  0.2486  0.7500  0.9436 x4  2 Ga 2.57, 3 Sc 2.84-2.87

On energetic grounds, version c is preferred over the next structure by 0.043 eV/atom.

Version a
First-principles (PBE) data for a relaxed ThScGa2 crystal, as listed in Alexandria via LeMat-Bulk.

Calculated values
**Volume**: 22.8 Å³ per atom

abc: 4.6959 4.6959 4.1317
angles: 90.00 90.00 90.00
Closest atoms and distances in Å follow each position.
Space group P4/mmm (No. 123)
Inequivalent atoms, fractional coordinates:
Th  0.0000  0.0000  0.0000 x1  8 Ga 3.13, 4 Sc 3.32
Sc  0.5000  0.5000  0.0000 x1  8 Ga 3.13, 4 Th 3.32
Ga  0.0000  0.5000  0.5000 x2  4 Th 3.13, 4 Sc 3.13, 4 Ga 3.32

Version b
First-principles (PBE) data for a relaxed ThScGa2 crystal, as listed in Alexandria via LeMat-Bulk.

Calculated values
**Volume**: 23.7 Å³ per atom

abc: 3.4831 3.4831 27.0191
angles: 90.00 90.00 120.00
Closest atoms and distances in Å follow each position.
Space group R-3m (No. 166, hexagonal axes)
Inequivalent atoms, fractional coordinates:
Th  0.0000  0.0000  0.0000 x3  6 Ga 3.17, 6 Th 3.48
Sc  0.0000  0.0000  0.5000 x3  6 Ga 2.88
Ga  0.0000  0.0000  0.2428 x6  3 Sc 2.88, 3 Th 3.17

On energetic grounds, version a is preferred over the next structure by 0.116 eV/atom.

Version a
First-principles (PBE) data for a relaxed ThSc2Ga6 crystal, as listed in Alexandria via LeMat-Bulk.

Calculated values
**Volume**: 20.7 Å³ per atom

abc: 4.1914 6.9545 12.7930
angles: 90.00 90.00 90.00
Closest atoms and distances in Å follow each position.
Space group Immm (No. 71)
Inequivalent atoms, fractional coordinates:
Th  0.0000  0.0000  0.0000 x2  4 Ga 3.06
Sc  0.0000  0.5000  0.1212 x4  10 Ga 2.79-3.09, 1 Sc 3.10
Ga  0.0000  0.1790  0.5000 x4  3 Ga 2.49-2.56
Ga  0.0000  0.3022  0.3111 x8  4 Ga 2.56-2.75, 1 Sc 2.79

Version b
First-principles (PBE) data for a relaxed ThSc2Ga6 crystal, as listed in Alexandria via LeMat-Bulk.

Calculated values
**Volume**: 19.8 Å³ per atom

abc: 7.5293 7.5293 3.6347
angles: 90.00 90.00 120.00
Closest atoms and distances in Å follow each position.
Space group P6/mmm (No. 191)
Inequivalent atoms, fractional coordinates:
Th  0.0000  0.0000  0.0000 x1  12 Ga 3.13
Sc  0.3333  0.6667  0.0000 x2  12 Ga 3.08
Ga  0.0000  0.3390  0.5000 x6  3 Ga 2.42-2.55

On energetic grounds, version b is preferred over the next structure by 0.066 eV/atom.

Version a
First-principles (PBE) data for a relaxed Th2ScGa crystal, as listed in Alexandria via LeMat-Bulk.

Calculated values
**Volume**: 29.3 Å³ per atom

abc: 3.3847 3.3847 35.3981
angles: 90.00 90.00 120.00
Closest atoms and distances in Å follow each position.
Space group R-3m (No. 166, hexagonal axes)
Inequivalent atoms, fractional coordinates:
Th  0.0000  0.0000  0.0872 x6  1 Ga 3.09, 6 Th 3.38, 3 Sc 3.42
Sc  0.0000  0.0000  0.5000 x3  6 Sc 3.38, 6 Th 3.42
Ga  0.0000  0.0000  0.0000 x3  2 Th 3.09, 6 Ga 3.38

Version b
First-principles (PBE) data for a relaxed Th2ScGa crystal, as listed in Alexandria via LeMat-Bulk.

Calculated values
**Volume**: 26.1 Å³ per atom

abc: 4.7150 4.7150 4.6895
angles: 90.00 90.00 90.00
Closest atoms and distances in Å follow each position.
Space group P4/mmm (No. 123)
Inequivalent atoms, fractional coordinates:
Th  0.0000  0.5000  0.0000 x2  4 Ga 3.32, 4 Sc 3.32, 4 Th 3.33
Sc  0.0000  0.0000  0.5000 x1  8 Th 3.32, 4 Ga 3.33
Ga  0.5000  0.5000  0.5000 x1  8 Th 3.32, 4 Sc 3.33

Version c
First-principles (PBE) data for a relaxed Th2ScGa crystal, as listed in Alexandria via LeMat-Bulk.

Calculated values
**Volume**: 27.0 Å³ per atom

abc: 3.9586 3.9586 6.8934
angles: 90.00 90.00 90.00
Closest atoms and distances in Å follow each position.
Space group P4/mmm (No. 123)
Inequivalent atoms, fractional coordinates:
Th  0.0000  0.0000  0.2265 x2  1 Th 3.12, 4 Ga 3.21, 4 Sc 3.37
Sc  0.5000  0.5000  0.5000 x1  8 Th 3.37, 2 Ga 3.45
Ga  0.5000  0.5000  0.0000 x1  8 Th 3.21, 2 Sc 3.45

On energetic grounds, version b is preferred over the next structure by 0.063 eV/atom.

Version a
First-principles (PBE) data for a relaxed ScTi2Ga4 crystal, as listed in Alexandria via LeMat-Bulk.

Calculated values
**Volume**: 23.4 Å³ per atom

abc: 4.9893 4.9893 13.1589
angles: 90.00 90.00 90.00
Closest atoms and distances in Å follow each position.
Space group I4/mmm (No. 139)
Inequivalent atoms, fractional coordinates:
Sc  0.0000  0.0000  0.0000 x2  6 Ga 2.49-2.72
Ti  0.0000  0.0000  0.4089 x4  1 Ti 2.40, 1 Ga 2.66
Ga  0.0000  0.0000  0.2066 x4  1 Ti 2.66, 1 Sc 2.72
Ga  0.0000  0.5000  0.0000 x4  2 Sc 2.49, 4 Ti 2.77

Version b
First-principles (PBE) data for a relaxed ScTi2Ga4 crystal, as listed in Alexandria via LeMat-Bulk.

Calculated values
**Volume**: 17.0 Å³ per atom

abc: 6.6268 6.6268 5.4345
angles: 90.00 90.00 90.00
Closest atoms and distances in Å follow each position.
Space group I4/mmm (No. 139)
Inequivalent atoms, fractional coordinates:
Sc  0.0000  0.0000  0.0000 x2  4 Ga 2.81
Ti  0.0000  0.5000  0.2500 x4  2 Ti 2.72, 8 Ga 2.75
Ga  0.2003  0.2003  0.5000 x8  4 Ga 2.65-2.87, 4 Ti 2.75, 1 Sc 2.81

On energetic grounds, version b is preferred over the next structure by 0.847 eV/atom.

Version a
First-principles (PBE) data for a relaxed ScTiGa4 crystal, as listed in Alexandria via LeMat-Bulk.

Calculated values
**Volume**: 16.7 Å³ per atom

abc: 7.3712 7.3712 7.3712
angles: 90.00 90.00 90.00
Closest atoms and distances in Å follow each position.
Space group F-43m (No. 216)
Inequivalent atoms, fractional coordinates:
Sc  0.0000  0.0000  0.0000 x4  12 Ga 3.06, 4 Ti 3.19
Ti  0.2500  0.2500  0.7500 x4  12 Ga 3.06, 4 Sc 3.19
Ga  0.1248  0.1248  0.3752 x16  6 Ga 2.60-2.61

Version b
First-principles (PBE) data for a relaxed ScTiGa4 crystal, as listed in Alexandria via LeMat-Bulk.

Calculated values
**Volume**: 19.9 Å³ per atom

abc: 3.8064 3.8064 28.4675
angles: 90.00 90.00 120.00
Closest atoms and distances in Å follow each position.
Space group R-3m (No. 166, hexagonal axes)
Inequivalent atoms, fractional coordinates:
Sc  0.0000  0.0000  0.0000 x3  8 Ga 2.90-3.19
Ti  0.0000  0.0000  0.5000 x3  8 Ga 2.69-2.85
Ga  0.0000  0.0000  0.1122 x6  3 Ga 2.55, 3 Ti 2.69
Ga  0.0000  0.0000  0.3998 x6  3 Ga 2.55, 1 Ti 2.85

On energetic grounds, version a is preferred over the next structure by 0.168 eV/atom.

Version a
First-principles (PBE) data for a relaxed Sc3TiGa crystal, as listed in Alexandria via LeMat-Bulk.

Calculated values
**Volume**: 24.2 Å³ per atom

abc: 4.9458 4.9458 4.9458
angles: 90.00 90.00 90.00
Closest atoms and distances in Å follow each position.
Space group Pm-3m (No. 221)
Inequivalent atoms, fractional coordinates:
Sc  0.0000  0.0000  0.5000 x3  2 Ti 2.47
Ti  0.0000  0.0000  0.0000 x1  6 Sc 2.47
Ga  0.5000  0.5000  0.5000 x1  12 Sc 3.50

Version b
First-principles (PBE) data for a relaxed Sc3TiGa crystal, as listed in Alexandria via LeMat-Bulk.

Calculated values
**Volume**: 26.2 Å³ per atom

abc: 5.0810 5.0810 5.0810
angles: 90.00 90.00 90.00
Closest atoms and distances in Å follow each position.
Space group Pm-3m (No. 221)
Inequivalent atoms, fractional coordinates:
Sc  0.0000  0.0000  0.5000 x3  2 Ga 2.54
Ti  0.5000  0.5000  0.5000 x1  12 Sc 3.59
Ga  0.0000  0.0000  0.0000 x1  6 Sc 2.54

On energetic grounds, version b is preferred over the next structure by 0.158 eV/atom.

Version a
First-principles (PBE) data for a relaxed ScTi3Ga crystal, as listed in Alexandria via LeMat-Bulk.

Calculated values
**Volume**: 20.3 Å³ per atom

abc: 4.6620 4.6620 4.6620
angles: 90.00 90.00 90.00
Closest atoms and distances in Å follow each position.
Space group Pm-3m (No. 221)
Inequivalent atoms, fractional coordinates:
Sc  0.0000  0.0000  0.0000 x1  6 Ti 2.33
Ti  0.0000  0.0000  0.5000 x3  2 Sc 2.33
Ga  0.5000  0.5000  0.5000 x1  12 Ti 3.30

Version b
First-principles (PBE) data for a relaxed ScTi3Ga crystal, as listed in Alexandria via LeMat-Bulk.

Calculated values
**Volume**: 21.9 Å³ per atom

abc: 4.7865 4.7865 4.7865
angles: 90.00 90.00 90.00
Closest atoms and distances in Å follow each position.
Space group Pm-3m (No. 221)
Inequivalent atoms, fractional coordinates:
Sc  0.0000  0.0000  0.0000 x1  12 Ti 3.38
Ti  0.0000  0.5000  0.5000 x3  2 Ga 2.39
Ga  0.5000  0.5000  0.5000 x1  6 Ti 2.39

On energetic grounds, version b is preferred over the next structure by 0.628 eV/atom.